1.
Compound: Y2Cu2Ru
Source: Alexandria
Functional: PBE
Structure: optimized geometry

Computed properties:
* energy relative to the elements: -15.1 kJ/mol of atoms
* size of the total moment: 0.00 μB/atom
* SG: I4/mmm (139)

The structure in POSCAR format:
```
Y2Cu2Ru
1.0
-2.6528 1.9674 -0.9098
-1.7057 -1.0073 2.7949
1.1064 6.9091 5.2648
Y Ru Cu
2 1 2
Direct
0.4009 0.4009 0.1982 Y
0.5991 0.5991 0.8018 Y
0.0000 0.0000 0.0000 Ru
0.7500 0.2500 0.5000 Cu
0.2500 0.7500 0.5000 Cu
```

***

2.
Compound: Nd2TeRu
Source: Alexandria
Functional: PBE
Structure: optimized geometry

Computed properties:
* size of the total moment: 0.00 μB/atom
* uncorrected formation energy: -617 meV per atom
* SG: R-3m (166)

The structure in POSCAR format:
```
Nd2TeRu
1.0
-4.1158 0.4972 -0.8815
-1.3971 -0.5315 -3.9661
-3.0074 -7.2447 -0.2344
Ru Te Nd
1 1 2
Direct
0.0000 0.0000 0.0000 Ru
0.5000 0.5000 0.5000 Te
0.2628 0.2628 0.2118 Nd
0.7372 0.7372 0.7882 Nd
```

***

3.
Compound: SbAsPb
Source: Alexandria
Functional: PBE
Structure: optimized geometry

Computed properties:
* size of the total moment: 0.00 μB/atom
* uncorrected formation energy: 269 meV per atom
* SG: F-43m (216)

The structure in POSCAR format:
```
SbAsPb
1.0
5.0391 0.0000 0.0000
2.5195 4.3640 0.0000
2.5195 1.4547 4.1144
Pb Sb As
1 1 1
Direct
0.0000 0.0000 0.0000 Pb
0.5000 0.5000 0.5000 Sb
0.2500 0.2500 0.2500 As
```

***

4.
Compound: Pa2GeN5
Source: Alexandria
Functional: PBE
Structure: optimized geometry

Computed properties:
* size of the total moment: 0.00 μB/atom
* uncorrected formation energy: -907 meV per atom
* SG: P2_1/c (14)

The structure in POSCAR format:
```
Pa2GeN5
1.0
6.6831 0.0000 -1.2297
0.0000 7.1440 0.0000
0.5264 0.0000 9.4561
Pa Ge N
8 4 20
Direct
0.7454 0.8805 0.0204 Pa
0.2454 0.6195 0.0204 Pa
0.4786 0.8529 0.3479 Pa
0.9786 0.6471 0.3479 Pa
0.0214 0.3529 0.6521 Pa
0.5214 0.1471 0.6521 Pa
0.7546 0.3805 0.9796 Pa
0.2546 0.1195 0.9796 Pa
0.4711 0.3900 0.2967 Ge
0.9711 0.1100 0.2967 Ge
0.0289 0.8900 0.7033 Ge
0.5289 0.6100 0.7033 Ge
0.9497 0.1475 0.0959 N
0.9155 0.6189 0.1002 N
0.4497 0.3525 0.0959 N
0.4155 0.8811 0.1002 N
0.7771 0.9160 0.2806 N
0.9749 0.3250 0.4050 N
0.2771 0.5840 0.2806 N
0.6629 0.5708 0.3509 N
0.4749 0.1750 0.4050 N
0.1629 0.9292 0.3509 N
0.8371 0.0708 0.6491 N
0.5251 0.8250 0.5950 N
0.3371 0.4292 0.6491 N
0.7229 0.4160 0.7194 N
0.0251 0.6750 0.5950 N
0.2229 0.0840 0.7194 N
0.5845 0.1189 0.8998 N
0.5503 0.6475 0.9040 N
0.0845 0.3811 0.8998 N
0.0503 0.8525 0.9040 N
```

***

5.
Compound: Mg2Si2Ru3
Source: Alexandria
Functional: PBE
Structure: optimized geometry

Computed properties:
* size of the total moment: 0.00 μB/atom
* uncorrected formation energy: -297 meV per atom
* SG: C2/m (12)

The structure in POSCAR format:
```
Mg2Si2Ru3
1.0
4.0158 -0.0060 -1.1202
-2.1690 3.5713 -0.0011
-0.0367 -0.0198 7.6149
Mg Si Ru
2 2 3
Direct
0.2598 0.1299 0.3884 Mg
0.7402 0.8701 0.6116 Mg
0.7575 0.3788 0.1364 Si
0.2425 0.6212 0.8636 Si
0.0000 0.0000 0.0000 Ru
0.5254 0.2627 0.7883 Ru
0.4746 0.7373 0.2117 Ru
```

***

6.
Compound: LaOs2Rh
Source: Alexandria
Functional: PBE
Structure: optimized geometry

Computed properties:
* energy relative to the elements: 24.9 kJ/mol of atoms
* size of the total moment: 0.00 μB/atom
* SG: Cm (8)

The structure in POSCAR format:
```
LaOs2Rh
1.0
1.5019 4.5236 0.0106
-1.5019 4.5236 0.0106
0.0000 1.2074 5.6389
La Os Rh
1 2 1
Direct
0.2563 0.2563 0.2604 La
0.0127 0.0127 0.9003 Os
0.7455 0.7455 0.7908 Os
0.4855 0.4855 0.5485 Rh
```

***

- size of the total moment of number 3 (SbAsPb)?
  0.00 μB/atom

***

- Number 4 is which compound?
  Pa2GeN5